Material: Sr2CuP
Method: DFT, GGA-PBE
State: relaxed

Computed properties:
space group = No. 44
crystal system = orthorhombic
DOS at the Fermi energy = 0.655 states/eV per atom
energy of formation from the pure elements = -0.506 eV/atom

Geometry as POSCAR:
```
Sr2CuP
1.0
-2.0237 2.1020 7.4930
2.0237 -2.1020 7.4930
2.0237 2.1020 -7.4930
Sr Cu P
2 1 1
Cartesian
0.0000 0.0000 0.0000
0.0000 2.1020 3.8619
2.0237 0.0000 5.1748
0.0000 0.0000 6.2237
```

Material: Y3AuO
Method: DFT, GGA-PBE
State: relaxed

Computed properties:
space group = No. 221
crystal system = cubic
DOS at the Fermi energy = 0.765 states/eV per atom
formation energy without anion corrections = -1.46 eV/atom

Geometry as POSCAR:
```
Y3AuO
1.0
4.7274 0.0000 0.0000
0.0000 4.7274 0.0000
0.0000 0.0000 4.7274
Y Au O
3 1 1
Cartesian
0.0000 0.0000 2.3637
0.0000 2.3637 0.0000
2.3637 0.0000 0.0000
2.3637 2.3637 2.3637
0.0000 0.0000 0.0000
```